# Cr2CdP, relaxed, DFT PBEsol
data_Cr2CdP
_chemical_formula_sum 'Cr4 Cd2 P2'
_cell_length_a 3.198
_cell_length_b 4.553
_cell_length_c 7.576
_cell_angle_alpha 90.00
_cell_angle_beta 90.00
_cell_angle_gamma 90.00
_space_group_name_H-M_alt 'I m m m'
_space_group_IT_number 71
_space_group_name_Hall '-I 2 2'
loop_
_atom_site_label
_atom_site_fract_x
_atom_site_fract_y
_atom_site_fract_z
Cr1 0.000 0.000 0.200
Cd1 0.000 0.500 0.000
P1 0.000 0.500 0.500
# Calculated density   7.45 g cm⁻³
# Total magnetic moment   0.01 μB/cell
# DOS(E_F)   0.882 states/eV/atom
# Electronic total energy   -6.576 eV per atom